# 1
# Ta3GaTe

A geometry-optimized Ta3GaTe structure (GGA-PBE, Alexandria).

## Properties
DOS at the Fermi energy   2.50 states/eV/atom
Calculated total energy   -7.0757 eV per atom

Lattice parameters (Å, degrees): 4.790 4.790 4.790 90.00 90.00 90.00
Atoms (fractional coordinates):
Ta (0.000, 0.000, 0.500)
Ta (0.000, 0.500, 0.000)
Ta (0.500, 0.000, 0.000)
Ga (0.000, 0.000, 0.000)
Te (0.500, 0.500, 0.500)



# 2
# LiHf2IrN

A geometry-optimized LiHf2IrN structure (GGA-PBE, Alexandria).

## Properties
DOS at the Fermi energy   0.43 states/eV/atom
Calculated total energy   -8.8059 eV per atom

Lattice parameters (Å, degrees): 4.417 4.417 3.722 90.00 90.00 90.00
Atoms (fractional coordinates):
Li (0.000, 0.000, 0.000)
Hf (0.000, 0.500, 0.500)
Hf (0.500, 0.000, 0.500)
Ir (0.500, 0.500, 0.000)
N (0.000, 0.000, 0.500)



# 3
# Ba2Be2GeO6

A geometry-optimized Ba2Be2GeO6 structure (GGA-PBE, Alexandria).

## Properties
DOS at the Fermi energy   0.00 states/eV/atom
Calculated total energy   -6.5506 eV per atom

Lattice parameters (Å, degrees): 5.417 5.417 6.293 115.15 115.15 59.91
Atoms (fractional coordinates):
Ba (0.221, 0.221, 0.167)
Ba (0.779, 0.779, 0.833)
Be (0.405, 0.405, 0.710)
Be (0.595, 0.595, 0.290)
Ge (0.000, 0.000, 0.500)
O (0.238, 0.238, 0.707)
O (0.240, 0.739, 0.715)
O (0.261, 0.760, 0.285)
O (0.739, 0.240, 0.715)
O (0.760, 0.261, 0.285)
O (0.762, 0.762, 0.293)



# 4
# LiTaPb4

A geometry-optimized LiTaPb4 structure (GGA-PBE, Alexandria).

## Properties
DFT formation energy   773 meV per atom
DOS at the Fermi energy   0.90 states/eV/atom

Lattice parameters (Å, degrees): 6.309 6.309 6.309 60.00 60.00 60.00
Atoms (fractional coordinates):
Li (0.000, 0.000, 0.000)
Ta (0.250, 0.250, 0.250)
Pb (0.127, 0.624, 0.624)
Pb (0.624, 0.127, 0.624)
Pb (0.624, 0.624, 0.127)
Pb (0.624, 0.624, 0.624)



# 5
# K3NaCe2S6

A geometry-optimized K3NaCe2S6 structure (GGA-PBE, Alexandria).

## Properties
Calculated total energy   -5.0356 eV per atom

Lattice parameters (Å, degrees): 7.216 7.216 7.681 99.01 99.01 120.00
Atoms (fractional coordinates):
K (0.000, 0.000, 0.000)
K (0.341, 0.659, 0.000)
K (0.659, 0.341, 0.000)
Na (0.500, 0.500, 0.500)
Ce (0.167, 0.833, 0.500)
Ce (0.833, 0.167, 0.500)
S (0.072, 0.432, 0.296)
S (0.210, 0.210, 0.702)
S (0.432, 0.072, 0.296)
S (0.568, 0.928, 0.704)
S (0.790, 0.790, 0.298)
S (0.928, 0.568, 0.704)



# 6
# PaCuPb2

A geometry-optimized PaCuPb2 structure (GGA-PBE, Alexandria).

## Properties
DFT formation energy   400 meV per atom
DOS at the Fermi energy   1.10 states/eV/atom

Lattice parameters (Å, degrees): 10.983 10.983 10.983 17.27 17.27 17.27
Atoms (fractional coordinates):
Pa (0.000, 0.000, 0.000)
Cu (0.500, 0.500, 0.500)
Pb (0.101, 0.101, 0.101)
Pb (0.899, 0.899, 0.899)